A | Crystalline TaFeRu2 at its relaxed geometry, computed with GGA-PBEsol.

Summary:
Symmetry: No. 123
Calculated volume, Å³/atom: 13.65

Lattice parameters (Å, degrees): 3.7086 3.8369 3.8369 90.00 90.00 90.00
Closest atoms and distances in Å follow each position.
Positions (direct):
Ru: 0.0000 0.0000 0.5000  4 Ta 2.67, 4 Fe 2.67, 4 Ru 2.71
Ru: 0.0000 0.5000 0.0000  4 Ta 2.67, 4 Fe 2.67, 4 Ru 2.71
Fe: 0.5000 0.0000 0.0000  8 Ru 2.67, 4 Ta 2.71
Ta: 0.5000 0.5000 0.5000  8 Ru 2.67, 4 Fe 2.71

B | Crystalline TaFeRu2 at its relaxed geometry, computed with GGA-PBEsol.

Summary:
Symmetry: No. 44
Calculated volume, Å³/atom: 13.97

Lattice parameters (Å, degrees): 3.1023 4.1937 5.0259 114.66 107.98 90.00
Closest atoms and distances in Å follow each position.
Positions (direct):
Fe: 0.2501 0.7501 0.5003  6 Ru 2.58-2.61, 2 Ta 2.60
Ru: 0.9899 0.9899 0.9798  2 Fe 2.58, 4 Ta 2.61, 2 Ru 2.74
Ru: 0.7531 0.2531 0.5062  4 Fe 2.61, 2 Ta 2.68, 2 Ru 2.74
Ta: 0.5069 0.5069 0.0137  2 Fe 2.60, 6 Ru 2.61-2.68

Of them, the most stable is A and the least stable is B.

A | Crystalline Tl2FeRu at its relaxed geometry, computed with GGA-PBEsol.

Summary:
Symmetry: No. 123
Calculated volume, Å³/atom: 16.89

Lattice parameters (Å, degrees): 3.2163 4.5837 4.5837 90.00 90.00 90.00
Closest atoms and distances in Å follow each position.
Positions (direct):
Fe: 0.5000 0.5000 0.5000  8 Tl 2.80
Ru: 0.5000 0.0000 0.0000  8 Tl 2.80
Tl: 0.0000 0.0000 0.5000  4 Ru 2.80, 4 Fe 2.80
Tl: 0.0000 0.5000 0.0000  4 Fe 2.80, 4 Ru 2.80

B | Crystalline Tl2FeRu at its relaxed geometry, computed with GGA-PBEsol.

Summary:
Symmetry: No. 8
Calculated volume, Å³/atom: 17.77

Lattice parameters (Å, degrees): 3.0827 4.6849 5.4262 108.09 106.50 90.00
Closest atoms and distances in Å follow each position.
Positions (direct):
Fe: 0.5321 0.4887 0.0642  2 Ru 2.49
Ru: 0.2199 0.7641 0.4397  2 Fe 2.49
Tl: 0.9816 0.9489 0.9633  4 Fe 2.83-2.86, 3 Ru 2.88-3.00, 4 Tl 3.08-3.17
Tl: 0.7664 0.2982 0.5329  4 Ru 2.84, 3 Fe 2.86-3.04, 4 Tl 3.08-3.17

Of them, the most stable is B and the least stable is A.

A | Crystalline Fe2RuW at its relaxed geometry, computed with GGA-PBEsol.

Summary:
Symmetry: No. 99
Calculated volume, Å³/atom: 12.85

Lattice parameters (Å, degrees): 2.9794 2.9794 5.7891 90.00 90.00 90.00
Closest atoms and distances in Å follow each position.
Positions (direct):
Fe: 0.0000 0.0000 0.0139  4 Fe 2.44, 4 W 2.56
Fe: 0.5000 0.5000 0.2280  4 Fe 2.44, 4 Ru 2.61, 1 W 2.69
Ru: 0.0000 0.0000 0.4940  5 Fe 2.61-2.78, 4 W 2.62
W: 0.5000 0.5000 0.7641  5 Fe 2.56-2.69, 4 Ru 2.62

B | Crystalline Fe2RuW at its relaxed geometry, computed with GGA-PBEsol.

Summary:
Symmetry: No. 65
Calculated volume, Å³/atom: 12.23

Lattice parameters (Å, degrees): 2.6340 4.4152 4.4152 107.62 90.00 90.00
Closest atoms and distances in Å follow each position.
Positions (direct):
Fe: 0.0000 0.5000 0.0000  4 Ru 2.57, 4 W 2.57, 4 Fe 2.61-2.63
Fe: 0.0000 0.0000 0.5000  4 W 2.57, 4 Ru 2.57, 4 Fe 2.61-2.63
Ru: 0.5000 0.0000 0.0000  8 Fe 2.57, 2 W 2.61, 2 Ru 2.63
W: 0.5000 0.5000 0.5000  8 Fe 2.57, 2 Ru 2.61, 2 W 2.63

Of them, the most stable is A and the least stable is B.

A | Crystalline Zn2FeRu at its relaxed geometry, computed with GGA-PBEsol.

Summary:
Symmetry: No. 225
Calculated volume, Å³/atom: 12.69

Lattice parameters (Å, degrees): 4.1559 4.1559 4.1559 60.00 60.00 60.00
Closest atoms and distances in Å follow each position.
Positions (direct):
Fe: 0.0000 0.0000 0.0000  8 Zn 2.54
Ru: 0.5000 0.5000 0.5000  8 Zn 2.54
Zn: 0.2500 0.2500 0.2500  4 Ru 2.54, 4 Fe 2.54
Zn: 0.7500 0.7500 0.7500  4 Fe 2.54, 4 Ru 2.54

B | Crystalline Zn2FeRu at its relaxed geometry, computed with GGA-PBEsol.

Summary:
Symmetry: No. 123
Calculated volume, Å³/atom: 12.74

Lattice parameters (Å, degrees): 3.0670 3.0670 5.4161 90.00 90.00 90.00
Closest atoms and distances in Å follow each position.
Positions (direct):
Fe: 0.5000 0.5000 0.0000  8 Zn 2.54, 2 Ru 2.71
Ru: 0.5000 0.5000 0.5000  8 Zn 2.57, 2 Fe 2.71
Zn: 0.0000 0.0000 0.7546  4 Fe 2.54, 4 Ru 2.57, 2 Zn 2.66-2.76
Zn: 0.0000 0.0000 0.2454  4 Fe 2.54, 4 Ru 2.57, 2 Zn 2.66-2.76

Of them, the most stable is A and the least stable is B.